# 1
Li7CdHg3: optimized geometry, GGA-PBE.

## Properties
E (eV/atom): -1.580
Mass density (g/cm3): 5.81
Magnetic moment (μB per formula unit): 0.00
Energy of formation from the pure elements (meV per atom): -197

Lattice parameters (Å, degrees): 3.0340 27.1617 10.5899 90.00 90.00 90.00
Space group Cmcm (No. 63)
Inequivalent atoms, fractional coordinates:
1 Li 0.0000 0.0350 0.2500
2 Li 0.0000 0.0478 0.5209
3 Li 0.0000 0.1425 0.6110
4 Li 0.0000 0.2093 0.0976
5 Cd 0.0000 0.4382 0.2500
6 Hg 0.0000 0.2909 0.2500
7 Hg 0.0000 0.3817 0.6112

# 2
Li3CdHg5: optimized geometry, GGA-PBE.

## Properties
E (eV/atom): -1.148
Mass density (g/cm3): 10.11
Magnetic moment (μB per formula unit): 0.00
Energy of formation from the pure elements (meV per atom): -241

Lattice parameters (Å, degrees): 8.5206 8.5206 5.9360 90.00 90.00 120.00
Space group P6_3/mcm (No. 193)
Inequivalent atoms, fractional coordinates:
1 Li 0.0000 0.3541 0.2500
2 Cd 0.0000 0.0000 0.0000
3 Hg 0.0000 0.3167 0.7500
4 Hg 0.3333 0.6667 0.0000

# 3
LiCd4Hg5: optimized geometry, GGA-PBE.

## Properties
E (eV/atom): -0.753
Mass density (g/cm3): 9.72
Energy above the lowest structure with this stoichiometry (eV per atom): 0.0069
Magnetic moment (μB per formula unit): 0.00
Energy of formation from the pure elements (meV per atom): -44

Lattice parameters (Å, degrees): 9.1452 9.1452 5.9635 90.00 90.00 90.00
Space group I4 (No. 79)
Inequivalent atoms, fractional coordinates:
1 Li 0.0000 0.0000 0.0000
2 Cd 0.0777 0.2988 0.7318
3 Hg 0.0000 0.0000 0.5266
4 Hg 0.0941 0.2678 0.2255

# 4
Li5Cd2Hg2: optimized geometry, GGA-PBE.

## Properties
E (eV/atom): -1.533
Mass density (g/cm3): 6.02
Magnetic moment (μB per formula unit): 0.00
Energy of formation from the pure elements (meV per atom): -199

Lattice parameters (Å, degrees): 14.7235 7.0460 7.0299 90.00 90.00 90.00
Space group Cmce (No. 64)
Inequivalent atoms, fractional coordinates:
1 Li 0.0000 0.0000 0.0000
2 Li 0.1347 0.1755 0.3276
3 Cd 0.2160 0.0000 0.0000
4 Hg 0.0000 0.1423 0.6453

# 5
Li5CdHg6: optimized geometry, GGA-PBE.

## Properties
E (eV/atom): -1.345
Mass density (g/cm3): 9.63
Magnetic moment (μB per formula unit): 0.00
Energy of formation from the pure elements (meV per atom): -320

Lattice parameters (Å, degrees): 4.7421 6.8503 7.5159 90.00 107.51 90.00
Space group P2/m (No. 10)
Inequivalent atoms, fractional coordinates:
1 Li 0.0000 0.0000 0.0000
2 Li 0.3318 0.0000 0.6662
3 Li 0.3372 0.5000 0.6790
4 Cd 0.0000 0.5000 0.0000
5 Hg 0.1767 0.2434 0.3501
6 Hg 0.5000 0.2292 0.0000

# 6
Li3Cd6Hg2: optimized geometry, GGA-PBE.

## Properties
E (eV/atom): -1.264
Mass density (g/cm3): 8.05
Magnetic moment (μB per formula unit): 0.00
Energy of formation from the pure elements (meV per atom): -188

Lattice parameters (Å, degrees): 4.9153 5.6678 8.4793 91.81 106.71 90.06
Space group P-1 (No. 2)
Inequivalent atoms, fractional coordinates:
1 Li 0.0000 0.0000 0.0000
2 Li 0.2683 0.6714 0.5374
3 Cd 0.0914 0.5587 0.1807
4 Cd 0.3555 0.1934 0.7128
5 Cd 0.4513 0.7376 0.9043
6 Hg 0.1746 0.1095 0.3475

# 7
Li2CdHg3: optimized geometry, GGA-PBE.

## Properties
E (eV/atom): -1.207
Mass density (g/cm3): 10.04
Magnetic moment (μB per formula unit): 0.00
Energy of formation from the pure elements (meV per atom): -265

Lattice parameters (Å, degrees): 3.3777 3.3777 10.5509 90.00 90.00 90.00
Space group P4/mmm (No. 123)
Inequivalent atoms, fractional coordinates:
1 Li 0.0000 0.0000 0.1566
2 Cd 0.0000 0.0000 0.5000
3 Hg 0.5000 0.5000 0.0000
4 Hg 0.5000 0.5000 0.3053

# 8
LiCd2Hg7: optimized geometry, GGA-PBE.

## Properties
E (eV/atom): -0.620
Mass density (g/cm3): 10.53
Energy above the lowest structure with this stoichiometry (eV per atom): 0.0234
Magnetic moment (μB per formula unit): 0.00
Energy of formation from the pure elements (meV per atom): -35

Lattice parameters (Å, degrees): 4.8187 4.8187 12.8335 90.00 90.00 120.00
Space group P3m1 (No. 156)
Inequivalent atoms, fractional coordinates:
1 Li 0.0000 0.0000 0.0000
2 Cd 0.3333 0.6667 0.6764
3 Cd 0.6667 0.3333 0.3458
4 Hg 0.0000 0.0000 0.2375
5 Hg 0.0000 0.0000 0.7667
6 Hg 0.3333 0.6667 0.4302
7 Hg 0.3333 0.6667 0.9904
8 Hg 0.6667 0.3333 0.1138
9 Hg 0.6667 0.3333 0.5826
10 Hg 0.6667 0.3333 0.8659

# 9
Li2CdHg: optimized geometry, GGA-PBE.

## Properties
E (eV/atom): -1.388
Mass density (g/cm3): 6.46
Energy above the lowest structure with this stoichiometry (eV per atom): 0.1930
Magnetic moment (μB per formula unit): 0.00
Energy of formation from the pure elements (meV per atom): -127

Lattice parameters (Å, degrees): 7.4282 7.4282 6.0908 90.00 90.00 90.00
Space group I-42d (No. 122)
Inequivalent atoms, fractional coordinates:
1 Li 0.2395 0.2500 0.1250
2 Cd 0.0000 0.0000 0.5000
3 Hg 0.0000 0.0000 0.0000

# 10
LiCdHg14: optimized geometry, GGA-PBE.

## Properties
E (eV/atom): -0.466
Mass density (g/cm3): 11.50
Magnetic moment (μB per formula unit): 0.00
Energy of formation from the pure elements (meV per atom): -25

Lattice parameters (Å, degrees): 10.5693 7.3738 10.8470 90.00 90.00 90.00
Space group Amm2 (No. 38)
Inequivalent atoms, fractional coordinates:
1 Li 0.0000 0.0000 0.0000
2 Cd 0.0000 0.0000 0.4627
3 Hg 0.0000 0.2259 0.7146
4 Hg 0.2318 0.2227 0.9131
5 Hg 0.2381 0.0000 0.1809
6 Hg 0.2630 0.0000 0.6409
7 Hg 0.5000 0.0000 0.3571
8 Hg 0.5000 0.0000 0.8286
9 Hg 0.5000 0.2232 0.0894

# 11
Li3Cd2Hg3: optimized geometry, GGA-PBE.

## Properties
E (eV/atom): -1.291
Mass density (g/cm3): 8.58
Energy above the lowest structure with this stoichiometry (eV per atom): 0.0369
Magnetic moment (μB per formula unit): 0.00
Energy of formation from the pure elements (meV per atom): -232

Lattice parameters (Å, degrees): 7.5280 7.5280 3.3402 90.00 90.00 120.00
Space group P-62m (No. 189)
Inequivalent atoms, fractional coordinates:
1 Li 0.0000 0.3723 0.0000
2 Cd 0.3333 0.6667 0.5000
3 Hg 0.0000 0.7629 0.5000

# 12
LiCd4Hg3: optimized geometry, GGA-PBE.

## Properties
E (eV/atom): -0.862
Mass density (g/cm3): 9.55
Magnetic moment (μB per formula unit): 0.00
Energy of formation from the pure elements (meV per atom): -52

Lattice parameters (Å, degrees): 3.2210 4.4790 12.9583 81.20 85.02 89.91
Space group P-1 (No. 2)
Inequivalent atoms, fractional coordinates:
1 Li 0.0000 0.0000 0.0000
2 Cd 0.2745 0.7765 0.4400
3 Cd 0.4193 0.8939 0.1884
4 Hg 0.1436 0.6605 0.6956
5 Hg 0.5000 0.5000 0.0000